Entry 1:
! Ac6CdGe2I3 GGA-PBE relaxed; values from VASP
&SYSTEM
  ibrav = 0, nat = 12, ntyp = 4
/
ATOMIC_SPECIES
Ac 227.00 Ac.upf
Cd 112.41 Cd.upf
Ge 72.64 Ge.upf
I 126.90 I.upf
CELL_PARAMETERS angstrom
10.474 -2.322 0.000
10.474 2.322 0.000
-2.450 0.000 9.448
ATOMIC_POSITIONS crystal
Ac 0.013 0.013 0.239
Ac 0.323 0.323 0.443
Ac 0.337 0.337 0.884
Ac 0.663 0.663 0.116
Ac 0.677 0.677 0.557
Ac 0.987 0.987 0.761
Cd 0.500 0.500 0.000
Ge 0.169 0.169 0.336
Ge 0.831 0.831 0.664
I 0.165 0.165 0.830
I 0.500 0.500 0.500
I 0.835 0.835 0.170
! raw formation energy: -0.841 eV/atom
! space-group type: No. 12

=====

Entry 2:
! Ac8CdGe3I4 GGA-PBE relaxed; values from VASP
&SYSTEM
  ibrav = 0, nat = 16, ntyp = 4
/
ATOMIC_SPECIES
Ac 227.00 Ac.upf
Cd 112.41 Cd.upf
Ge 72.64 Ge.upf
I 126.90 I.upf
CELL_PARAMETERS angstrom
4.700 2.713 7.943
-4.700 2.713 7.943
0.000 -5.427 7.943
ATOMIC_POSITIONS crystal
Ac 0.229 0.741 0.741
Ac 0.234 0.234 0.234
Ac 0.259 0.259 0.771
Ac 0.259 0.771 0.259
Ac 0.741 0.229 0.741
Ac 0.741 0.741 0.229
Ac 0.766 0.766 0.766
Ac 0.771 0.259 0.259
Cd 0.500 0.500 0.500
Ge 0.000 0.000 0.500
Ge 0.000 0.500 0.000
Ge 0.500 0.000 0.000
I 0.000 0.000 0.000
I 0.000 0.500 0.500
I 0.500 0.000 0.500
I 0.500 0.500 0.000
! raw formation energy: -0.874 eV/atom
! space-group type: No. 166

=====

Entry 3:
! Ac2CdInGe GGA-PBE relaxed; values from VASP
&SYSTEM
  ibrav = 0, nat = 10, ntyp = 4
/
ATOMIC_SPECIES
Ac 227.00 Ac.upf
Cd 112.41 Cd.upf
In 114.82 In.upf
Ge 72.64 Ge.upf
CELL_PARAMETERS angstrom
7.932 0.000 0.000
0.000 4.984 0.000
-0.799 0.000 8.105
ATOMIC_POSITIONS crystal
Ac 0.166 0.250 0.450
Ac 0.243 0.250 0.982
Ac 0.757 0.750 0.018
Ac 0.834 0.750 0.550
Cd 0.441 0.750 0.316
Cd 0.559 0.250 0.684
In 0.369 0.750 0.702
In 0.631 0.250 0.298
Ge 0.108 0.750 0.209
Ge 0.892 0.250 0.791
! raw total energy: -37.5 eV/cell
! space-group type: No. 11

=====

Entry 4:
! Ac2CdGe4Ir3 GGA-PBE relaxed; values from VASP
&SYSTEM
  ibrav = 0, nat = 10, ntyp = 4
/
ATOMIC_SPECIES
Ac 227.00 Ac.upf
Cd 112.41 Cd.upf
Ge 72.64 Ge.upf
Ir 192.22 Ir.upf
CELL_PARAMETERS angstrom
4.459 0.000 0.000
0.000 4.459 0.000
0.000 0.000 10.466
ATOMIC_POSITIONS crystal
Ac 0.000 0.500 0.238
Ac 0.500 0.000 0.762
Cd 0.000 0.000 0.500
Ge 0.000 0.000 0.000
Ge 0.000 0.500 0.644
Ge 0.500 0.000 0.356
Ge 0.500 0.500 0.000
Ir 0.000 0.500 0.882
Ir 0.500 0.000 0.118
Ir 0.500 0.500 0.500
! raw total energy: -60.3 eV/cell
! space-group type: No. 115

=====

Entry 5:
! AcLaCdGe GGA-PBE relaxed; values from VASP
&SYSTEM
  ibrav = 0, nat = 4, ntyp = 4
/
ATOMIC_SPECIES
Ac 227.00 Ac.upf
La 138.91 La.upf
Cd 112.41 Cd.upf
Ge 72.64 Ge.upf
CELL_PARAMETERS angstrom
0.000 3.908 3.908
3.908 0.000 3.908
3.908 3.908 0.000
ATOMIC_POSITIONS crystal
Ac 0.000 0.000 0.000
La 0.500 0.500 0.500
Cd 0.750 0.750 0.750
Ge 0.250 0.250 0.250
! raw total energy: -16.4 eV/cell
! space-group type: No. 216

=====

Entry 6:
! AcLuCdGe GGA-PBE relaxed; values from VASP
&SYSTEM
  ibrav = 0, nat = 4, ntyp = 4
/
ATOMIC_SPECIES
Ac 227.00 Ac.upf
Lu 174.97 Lu.upf
Cd 112.41 Cd.upf
Ge 72.64 Ge.upf
CELL_PARAMETERS angstrom
0.000 3.793 3.793
3.793 0.000 3.793
3.793 3.793 0.000
ATOMIC_POSITIONS crystal
Ac 0.000 0.000 0.000
Lu 0.500 0.500 0.500
Cd 0.750 0.750 0.750
Ge 0.250 0.250 0.250
! raw total energy: -15.6 eV/cell
! space-group type: No. 216

=====

Which calculated volume belongs to each record? In order, 38.30 37.98 32.04 20.81 29.83 27.28 Å³/atom.